No. 1
Mn4NiSe, optimized geometry, DFT PBE-GGA; volume = 12.64 Å³ per atom; crystal system = cubic; space-group type = F-43m (216); energy relative to the elements, uncorrected = 0.51 eV per atom; total moment = 6.2 Bohr magnetons per cell
1.0
0.000 3.359 3.359
3.359 0.000 3.359
3.359 3.359 0.000
Mn Ni Se
4 1 1
direct
0.376 0.376 0.376 Mn
0.376 0.376 0.873 Mn
0.376 0.873 0.376 Mn
0.873 0.376 0.376 Mn
0.750 0.750 0.750 Ni
0.000 0.000 0.000 Se

=====

No. 2
PrEr2Au, optimized geometry, DFT PBE-GGA; volume = 28.97 Å³ per atom; crystal system = orthorhombic; energy of formation from the pure elements = -40.5 kJ per mole of atoms; space-group type = Cmcm (63); energy relative to the lowest polymorph listed for this composition = 0.0 meV per atom; total moment = 0.0 Bohr magnetons per cell
1.0
2.468 -6.051 0.000
2.468 6.051 0.000
0.000 0.000 7.759
Pr Er Au
2 4 2
direct
0.049 0.951 0.750 Pr
0.951 0.049 0.250 Pr
0.353 0.647 0.536 Er
0.353 0.647 0.964 Er
0.647 0.353 0.036 Er
0.647 0.353 0.464 Er
0.205 0.795 0.250 Au
0.795 0.205 0.750 Au